Entry 1:
Ho3H12Pt5 | GGA-PBE | optimized geometry

Calculated values
The uncorrected energy is -723.13 eV/cell. For the total magnetic moment, the calculation gives 0.0 μB per formula unit.

Unit cell a=11.846 b=11.846 c=11.846 alpha=90.00 beta=90.00 gamma=90.00
Space group Ia-3d (No. 230)
Asymmetric unit:
Ho  0.000  0.250  0.125
H  0.033  0.050  0.643
Pt  0.000  0.000  0.000
Pt  0.000  0.250  0.375

***

Entry 2:
RbZnTcGe2 | GGA-PBE | optimized geometry

Calculated values
The uncorrected energy is -22.03 eV/cell. The formation energy is -38 meV per atom. For the total magnetic moment, the calculation gives 0.0 μB per formula unit.

Unit cell a=4.838 b=4.838 c=5.142 alpha=90.00 beta=90.00 gamma=90.00
Space group P4/mmm (No. 123)
Asymmetric unit:
Rb  0.000  0.000  0.000
Zn  0.500  0.500  0.000
Tc  0.500  0.500  0.500
Ge  0.000  0.500  0.500

***

Entry 3:
Rb2PmGa2O6 | GGA-PBE | optimized geometry

Calculated values
The uncorrected energy is -62.75 eV/cell. For the total magnetic moment, the calculation gives 1.1 μB per formula unit. For the uncorrected formation energy, the calculation gives -1.84 eV per atom.

Unit cell a=5.6228 b=5.6228 c=6.6841 alpha=90.00 beta=90.00 gamma=120.00
Space group P-31m (No. 162)
Asymmetric unit:
Rb  0.3333  0.6667  0.0000
Pm  0.0000  0.0000  0.5000
Ga  0.3333  0.6667  0.5000
O  0.0000  0.3766  0.3402